! Sr5Ge2Br2 PBE-GGA optimized geometry; values from VASP
! space-group type: Cmce
! energy: -60.346 eV for the cell shown
&SYSTEM
  ibrav = 0, nat = 18, ntyp = 3
/
ATOMIC_SPECIES
Sr 87.62 Sr.upf
Ge 72.64 Ge.upf
Br 79.90 Br.upf
CELL_PARAMETERS angstrom
7.910 -4.486 0.000
7.910 4.486 0.000
0.000 0.000 9.006
ATOMIC_POSITIONS crystal
Sr 0.000 0.000 0.000
Sr 0.029 0.740 0.641
Sr 0.240 0.529 0.141
Sr 0.260 0.971 0.641
Sr 0.471 0.760 0.141
Sr 0.500 0.500 0.500
Sr 0.529 0.240 0.859
Sr 0.740 0.029 0.359
Sr 0.760 0.471 0.859
Sr 0.971 0.260 0.359
Ge 0.160 0.840 0.340
Ge 0.340 0.660 0.840
Ge 0.660 0.340 0.160
Ge 0.840 0.160 0.660
Br 0.210 0.210 0.000
Br 0.290 0.290 0.500
Br 0.710 0.710 0.500
Br 0.790 0.790 0.000

! SrGe2Br PBE-GGA optimized geometry; values from VASP
! E above lowest polymorph: 253.9 meV/atom
! space-group type: Fm-3m
! energy: -12.109 eV for the cell shown
&SYSTEM
  ibrav = 0, nat = 4, ntyp = 3
/
ATOMIC_SPECIES
Sr 87.62 Sr.upf
Ge 72.64 Ge.upf
Br 79.90 Br.upf
CELL_PARAMETERS angstrom
0.000 3.779 3.779
3.779 0.000 3.779
3.779 3.779 0.000
ATOMIC_POSITIONS crystal
Sr 0.000 0.000 0.000
Ge 0.250 0.250 0.250
Ge 0.750 0.750 0.750
Br 0.500 0.500 0.500

! SrGe3Br8 PBE-GGA optimized geometry; values from VASP
! space-group type: Cm
! energy: -39.680 eV for the cell shown
&SYSTEM
  ibrav = 0, nat = 12, ntyp = 3
/
ATOMIC_SPECIES
Sr 87.62 Sr.upf
Ge 72.64 Ge.upf
Br 79.90 Br.upf
CELL_PARAMETERS angstrom
9.038 -2.885 0.000
9.038 2.885 0.000
-2.746 0.000 9.011
ATOMIC_POSITIONS crystal
Sr 0.000 0.000 0.000
Ge 0.559 0.559 0.430
Ge 0.693 0.693 0.054
Ge 0.889 0.889 0.405
Br 0.049 0.049 0.370
Br 0.173 0.173 0.029
Br 0.408 0.408 0.397
Br 0.527 0.527 0.062
Br 0.605 0.605 0.700
Br 0.731 0.731 0.343
Br 0.841 0.841 0.064
Br 0.898 0.898 0.682

! SrGe2Br8 PBE-GGA optimized geometry; values from VASP
! space-group type: P-3m1
! energy: -33.353 eV for the cell shown
&SYSTEM
  ibrav = 0, nat = 11, ntyp = 3
/
ATOMIC_SPECIES
Sr 87.62 Sr.upf
Ge 72.64 Ge.upf
Br 79.90 Br.upf
CELL_PARAMETERS angstrom
8.048 0.000 0.000
-4.024 6.970 0.000
0.000 0.000 9.163
ATOMIC_POSITIONS crystal
Sr 0.000 0.000 0.000
Ge 0.333 0.667 0.703
Ge 0.667 0.333 0.297
Br 0.155 0.311 0.761
Br 0.155 0.845 0.761
Br 0.311 0.155 0.239
Br 0.333 0.667 0.446
Br 0.667 0.333 0.554
Br 0.689 0.845 0.761
Br 0.845 0.155 0.239
Br 0.845 0.689 0.239

! SrGe2Br6 PBE-GGA optimized geometry; values from VASP
! E above lowest polymorph: 50.0 meV/atom
! space-group type: R3
! energy: -30.070 eV for the cell shown
&SYSTEM
  ibrav = 0, nat = 9, ntyp = 3
/
ATOMIC_SPECIES
Sr 87.62 Sr.upf
Ge 72.64 Ge.upf
Br 79.90 Br.upf
CELL_PARAMETERS angstrom
3.794 2.190 7.337
-3.794 2.190 7.337
0.000 -4.381 7.337
ATOMIC_POSITIONS crystal
Sr 0.000 0.000 0.000
Ge 0.240 0.240 0.240
Ge 0.365 0.365 0.365
Br 0.159 0.375 0.724
Br 0.282 0.910 0.598
Br 0.375 0.724 0.159
Br 0.598 0.282 0.910
Br 0.724 0.159 0.375
Br 0.910 0.598 0.282

! Sr2GeBr PBE-GGA optimized geometry; values from VASP
! E above lowest polymorph: 330.3 meV/atom
! space-group type: I-42d
! energy: -25.421 eV for the cell shown
&SYSTEM
  ibrav = 0, nat = 8, ntyp = 3
/
ATOMIC_SPECIES
Sr 87.62 Sr.upf
Ge 72.64 Ge.upf
Br 79.90 Br.upf
CELL_PARAMETERS angstrom
-3.517 3.517 7.366
3.517 -3.517 7.366
3.517 3.517 -7.366
ATOMIC_POSITIONS crystal
Sr 0.108 0.625 0.983
Sr 0.375 0.358 0.483
Sr 0.642 0.125 0.017
Sr 0.875 0.892 0.517
Ge 0.000 0.000 0.000
Ge 0.750 0.250 0.500
Br 0.250 0.750 0.500
Br 0.500 0.500 0.000

! Sr4Ge2Br5 PBE-GGA optimized geometry; values from VASP
! space-group type: C2/m
! energy: -40.813 eV for the cell shown
&SYSTEM
  ibrav = 0, nat = 11, ntyp = 3
/
ATOMIC_SPECIES
Sr 87.62 Sr.upf
Ge 72.64 Ge.upf
Br 79.90 Br.upf
CELL_PARAMETERS angstrom
12.349 -2.252 0.000
12.349 2.252 0.000
-0.073 0.000 8.657
ATOMIC_POSITIONS crystal
Sr 0.019 0.019 0.237
Sr 0.328 0.328 0.931
Sr 0.672 0.672 0.069
Sr 0.981 0.981 0.763
Ge 0.454 0.454 0.026
Ge 0.546 0.546 0.974
Br 0.141 0.141 0.298
Br 0.206 0.206 0.847
Br 0.500 0.500 0.500
Br 0.794 0.794 0.153
Br 0.859 0.859 0.702

! Sr4GeBr3 PBE-GGA optimized geometry; values from VASP
! space-group type: P2/c
! energy: -54.296 eV for the cell shown
&SYSTEM
  ibrav = 0, nat = 16, ntyp = 3
/
ATOMIC_SPECIES
Sr 87.62 Sr.upf
Ge 72.64 Ge.upf
Br 79.90 Br.upf
CELL_PARAMETERS angstrom
7.904 0.000 0.000
0.000 9.270 0.000
-2.648 0.000 7.585
ATOMIC_POSITIONS crystal
Sr 0.223 0.106 0.001
Sr 0.223 0.894 0.501
Sr 0.234 0.359 0.480
Sr 0.234 0.641 0.980
Sr 0.766 0.359 0.020
Sr 0.766 0.641 0.520
Sr 0.777 0.106 0.499
Sr 0.777 0.894 0.999
Ge 0.000 0.131 0.250
Ge 0.000 0.869 0.750
Br 0.000 0.379 0.750
Br 0.000 0.621 0.250
Br 0.500 0.140 0.750
Br 0.500 0.393 0.250
Br 0.500 0.607 0.750
Br 0.500 0.860 0.250

! SrGeBr3 PBE-GGA optimized geometry; values from VASP
! E above lowest polymorph: 46.5 meV/atom
! space-group type: Pm-3m
! energy: -15.144 eV for the cell shown
&SYSTEM
  ibrav = 0, nat = 5, ntyp = 3
/
ATOMIC_SPECIES
Sr 87.62 Sr.upf
Ge 72.64 Ge.upf
Br 79.90 Br.upf
CELL_PARAMETERS angstrom
5.894 0.000 0.000
0.000 5.894 0.000
0.000 0.000 5.894
ATOMIC_POSITIONS crystal
Sr 0.000 0.000 0.000
Ge 0.500 0.500 0.500
Br 0.000 0.000 0.500
Br 0.000 0.500 0.000
Br 0.500 0.000 0.000

! Sr2GeBr PBE-GGA optimized geometry; values from VASP
! E above lowest polymorph: 0.0 meV/atom
! space-group type: C2/m
! energy: -28.063 eV for the cell shown
&SYSTEM
  ibrav = 0, nat = 8, ntyp = 3
/
ATOMIC_SPECIES
Sr 87.62 Sr.upf
Ge 72.64 Ge.upf
Br 79.90 Br.upf
CELL_PARAMETERS angstrom
6.591 -3.210 0.000
6.591 3.210 0.000
-1.887 0.000 6.178
ATOMIC_POSITIONS crystal
Sr 0.123 0.123 0.426
Sr 0.355 0.355 0.078
Sr 0.645 0.645 0.922
Sr 0.877 0.877 0.574
Ge 0.095 0.095 0.930
Ge 0.905 0.905 0.070
Br 0.371 0.371 0.587
Br 0.629 0.629 0.413

! SrGeBr3 PBE-GGA optimized geometry; values from VASP
! E above lowest polymorph: 0.0 meV/atom
! space-group type: Pm-3m
! energy: -15.376 eV for the cell shown
&SYSTEM
  ibrav = 0, nat = 5, ntyp = 3
/
ATOMIC_SPECIES
Sr 87.62 Sr.upf
Ge 72.64 Ge.upf
Br 79.90 Br.upf
CELL_PARAMETERS angstrom
5.542 0.000 0.000
0.000 5.542 0.000
0.000 0.000 5.542
ATOMIC_POSITIONS crystal
Sr 0.000 0.000 0.000
Ge 0.500 0.500 0.500
Br 0.000 0.500 0.500
Br 0.500 0.000 0.500
Br 0.500 0.500 0.000

! Sr2GeBr PBE-GGA optimized geometry; values from VASP
! E above lowest polymorph: 63.5 meV/atom
! space-group type: R3m
! energy: -13.777 eV for the cell shown
&SYSTEM
  ibrav = 0, nat = 4, ntyp = 3
/
ATOMIC_SPECIES
Sr 87.62 Sr.upf
Ge 72.64 Ge.upf
Br 79.90 Br.upf
CELL_PARAMETERS angstrom
2.197 1.269 8.307
-2.197 1.269 8.307
0.000 -2.537 8.307
ATOMIC_POSITIONS crystal
Sr 0.000 0.000 0.000
Sr 0.185 0.185 0.185
Ge 0.593 0.593 0.593
Br 0.422 0.422 0.422

! Sr4GeTeBr2 PBE-GGA optimized geometry; values from VASP
! space-group type: P2/m
! energy: -29.151 eV for the cell shown
&SYSTEM
  ibrav = 0, nat = 8, ntyp = 4
/
ATOMIC_SPECIES
Sr 87.62 Sr.upf
Ge 72.64 Ge.upf
Te 127.60 Te.upf
Br 79.90 Br.upf
CELL_PARAMETERS angstrom
8.020 0.000 0.000
0.000 4.696 0.000
-2.829 0.000 7.748
ATOMIC_POSITIONS crystal
Sr 0.218 0.000 0.221
Sr 0.221 0.500 0.767
Sr 0.779 0.500 0.233
Sr 0.782 0.000 0.779
Ge 0.000 0.500 0.000
Te 0.000 0.000 0.500
Br 0.500 0.000 0.000
Br 0.500 0.500 0.500

! SrTlGeBr5 PBE-GGA optimized geometry; values from VASP
! space-group type: C2/c
! energy: -53.112 eV for the cell shown
&SYSTEM
  ibrav = 0, nat = 16, ntyp = 4
/
ATOMIC_SPECIES
Sr 87.62 Sr.upf
Tl 204.38 Tl.upf
Ge 72.64 Ge.upf
Br 79.90 Br.upf
CELL_PARAMETERS angstrom
5.358 -5.977 0.000
5.358 5.977 0.000
-4.224 0.000 9.842
ATOMIC_POSITIONS crystal
Sr 0.000 0.500 0.000
Sr 0.500 0.000 0.500
Tl 0.067 0.933 0.750
Tl 0.933 0.067 0.250
Ge 0.480 0.520 0.750
Ge 0.520 0.480 0.250
Br 0.203 0.230 0.092
Br 0.203 0.797 0.250
Br 0.230 0.203 0.592
Br 0.317 0.648 0.916
Br 0.352 0.683 0.584
Br 0.648 0.317 0.416
Br 0.683 0.352 0.084
Br 0.770 0.797 0.408
Br 0.797 0.203 0.750
Br 0.797 0.770 0.908

! TaGe3Br PBE-GGA optimized geometry; values from VASP
! E above lowest polymorph: 1145.3 meV/atom
! space-group type: Pm-3m
! energy: -19.729 eV for the cell shown
&SYSTEM
  ibrav = 0, nat = 5, ntyp = 3
/
ATOMIC_SPECIES
Ta 180.95 Ta.upf
Ge 72.64 Ge.upf
Br 79.90 Br.upf
CELL_PARAMETERS angstrom
4.940 0.000 0.000
0.000 4.940 0.000
0.000 0.000 4.940
ATOMIC_POSITIONS crystal
Ta 0.000 0.000 0.000
Ge 0.000 0.500 0.500
Ge 0.500 0.000 0.500
Ge 0.500 0.500 0.000
Br 0.500 0.500 0.500

! Ta2GeBr PBE-GGA optimized geometry; values from VASP
! E above lowest polymorph: 515.6 meV/atom
! space-group type: I-42d
! energy: -52.899 eV for the cell shown
&SYSTEM
  ibrav = 0, nat = 8, ntyp = 3
/
ATOMIC_SPECIES
Ta 180.95 Ta.upf
Ge 72.64 Ge.upf
Br 79.90 Br.upf
CELL_PARAMETERS angstrom
-3.601 3.601 3.041
3.601 -3.601 3.041
3.601 3.601 -3.041
ATOMIC_POSITIONS crystal
Ta 0.120 0.625 0.995
Ta 0.375 0.370 0.495
Ta 0.630 0.125 0.005
Ta 0.875 0.880 0.505
Ge 0.000 0.000 0.000
Ge 0.750 0.250 0.500
Br 0.250 0.750 0.500
Br 0.500 0.500 0.000

! Ta2GeBr PBE-GGA optimized geometry; values from VASP
! E above lowest polymorph: 0.0 meV/atom
! space-group type: Fm-3m
! energy: -28.512 eV for the cell shown
&SYSTEM
  ibrav = 0, nat = 4, ntyp = 3
/
ATOMIC_SPECIES
Ta 180.95 Ta.upf
Ge 72.64 Ge.upf
Br 79.90 Br.upf
CELL_PARAMETERS angstrom
0.000 3.259 3.259
3.259 0.000 3.259
3.259 3.259 0.000
ATOMIC_POSITIONS crystal
Ta 0.250 0.250 0.250
Ta 0.750 0.750 0.750
Ge 0.000 0.000 0.000
Br 0.500 0.500 0.500

! TaGe3Br PBE-GGA optimized geometry; values from VASP
! E above lowest polymorph: 0.0 meV/atom
! space-group type: Pm-3m
! energy: -25.456 eV for the cell shown
&SYSTEM
  ibrav = 0, nat = 5, ntyp = 3
/
ATOMIC_SPECIES
Ta 180.95 Ta.upf
Ge 72.64 Ge.upf
Br 79.90 Br.upf
CELL_PARAMETERS angstrom
5.103 0.000 0.000
0.000 5.103 0.000
0.000 0.000 5.103
ATOMIC_POSITIONS crystal
Ta 0.000 0.000 0.000
Ge 0.000 0.000 0.500
Ge 0.000 0.500 0.000
Ge 0.500 0.000 0.000
Br 0.500 0.500 0.500

! Tb4Ge2Br5 PBE-GGA optimized geometry; values from VASP
! space-group type: C2/m
! energy: -50.552 eV for the cell shown
&SYSTEM
  ibrav = 0, nat = 11, ntyp = 3
/
ATOMIC_SPECIES
Tb 158.93 Tb.upf
Ge 72.64 Ge.upf
Br 79.90 Br.upf
CELL_PARAMETERS angstrom
11.391 -2.018 0.000
11.391 2.018 0.000
-0.904 0.000 8.042
ATOMIC_POSITIONS crystal
Tb 0.017 0.017 0.286
Tb 0.337 0.337 0.555
Tb 0.663 0.663 0.445
Tb 0.983 0.983 0.714
Ge 0.447 0.447 0.448
Ge 0.553 0.553 0.552
Br 0.140 0.140 0.191
Br 0.215 0.215 0.675
Br 0.500 0.500 0.000
Br 0.785 0.785 0.325
Br 0.860 0.860 0.809

! Tb3GeBr7 PBE-GGA optimized geometry; values from VASP
! space-group type: P3m1
! energy: -46.125 eV for the cell shown
&SYSTEM
  ibrav = 0, nat = 11, ntyp = 3
/
ATOMIC_SPECIES
Tb 158.93 Tb.upf
Ge 72.64 Ge.upf
Br 79.90 Br.upf
CELL_PARAMETERS angstrom
8.422 0.000 0.000
-4.211 7.294 0.000
0.000 0.000 6.770
ATOMIC_POSITIONS crystal
Tb 0.007 0.504 0.000
Tb 0.496 0.504 0.000
Tb 0.496 0.993 0.000
Ge 0.333 0.667 0.751
Br 0.176 0.352 0.239
Br 0.176 0.824 0.239
Br 0.348 0.174 0.780
Br 0.648 0.824 0.239
Br 0.667 0.333 0.243
Br 0.826 0.174 0.780
Br 0.826 0.652 0.780